# Y2TePd2

A geometry-optimized Y2TePd2 structure (PBE-GGA, Alexandria via LeMat-Bulk).

a b c (Å): 8.101 8.101 3.707
angles (deg): 90.00 90.00 90.00
Positions (direct):
Y 0.665 0.165 0.000
Y 0.165 0.335 0.000
Y 0.835 0.665 0.000
Y 0.335 0.835 0.000
Pd 0.623 0.877 0.500
Pd 0.123 0.623 0.500
Pd 0.377 0.123 0.500
Pd 0.877 0.377 0.500
Te 0.500 0.500 0.000
Te 0.000 0.000 0.000

Computed properties:
symmetry = P4/mbm (127)
energy = -6.10 eV per atom
M_tot = 0.000 μB/atom
formation energy (no corrections) = -810 meV per atom